DFT (GGA-PBE) results for Mg2VZnN after structural relaxation.

Lattice parameters (Å, degrees): 4.1815 4.4989 4.1815 90.00 90.00 90.00
Last column: magnetic moment on the atom in μB.
Positions (direct):
Zn (0.0000, 0.5000, 0.0000)  0.03
N (0.0000, 0.0000, 0.0000)  0.19
Mg (0.0000, 0.0000, 0.5000)  0.00
Mg (0.5000, 0.0000, 0.0000)  0.00
V (0.5000, 0.5000, 0.5000)  2.69

Properties
Calculated density, Mg/m³: 3.8
Uncorrected formation energy, eV per formula unit: 1.464